Entry 1
Crystalline Co3ReC at its relaxed geometry, computed with PBE.

The space group is Pm-3m (No. 221) and the conventional cell measures 3.783, 3.783 and 3.783 Å, with angles of 90.00, 90.00 and 90.00 degrees. Symmetry generates all atoms from Co at (0.000, 0.000, 0.500), Re at (0.500, 0.500, 0.500) and C at (0.000, 0.000, 0.000).



Entry 2
Crystalline Co3ReC at its relaxed geometry, computed with PBE.

The space group is Pm-3m (No. 221) and the conventional cell measures 4.419, 4.419 and 4.419 Å, with angles of 90.00, 90.00 and 90.00 degrees. Symmetry generates all atoms from Co at (0.000, 0.000, 0.500), Re at (0.000, 0.000, 0.000) and C at (0.500, 0.500, 0.500).



Stability order, top to bottom: entry 1, entry 2



Entry 1
Crystalline CoReC3 at its relaxed geometry, computed with PBE.

The space group is Pm-3m (No. 221) and the conventional cell measures 3.658, 3.658 and 3.658 Å, with angles of 90.00, 90.00 and 90.00 degrees. Symmetry generates all atoms from Co at (0.000, 0.000, 0.000), Re at (0.500, 0.500, 0.500) and C at (0.000, 0.000, 0.500).



Entry 2
Crystalline CoReC3 at its relaxed geometry, computed with PBE.

The space group is Pm-3m (No. 221) and the conventional cell measures 3.999, 3.999 and 3.999 Å, with angles of 90.00, 90.00 and 90.00 degrees. Symmetry generates all atoms from Co at (0.000, 0.000, 0.000), Re at (0.500, 0.500, 0.500) and C at (0.000, 0.500, 0.500).



Stability order, top to bottom: entry 2, entry 1